A plane-wave DFT calculation with PBE was carried out for a relaxed NbPdI2 crystal.

Lattice parameters (Å, degrees): 6.6125 6.6125 7.4800 63.77 63.77 90.00
Closest atoms and distances in Å follow each position.
Fractional positions:
1 I 0.6364 0.1250 0.2500  2 Pd 2.71, 2 Nb 2.80
2 I 0.1136 0.6250 0.2500  2 Pd 2.71, 2 Nb 2.80
3 I 0.3750 0.3636 0.7500  2 Pd 2.71, 2 Nb 2.80
4 I 0.8750 0.8864 0.7500  2 Pd 2.71, 2 Nb 2.80
5 Nb 0.5000 0.5000 0.0000  4 I 2.80
6 Nb 0.2500 0.7500 0.5000  4 I 2.80
7 Pd 0.0000 0.0000 0.0000  4 I 2.71
8 Pd 0.7500 0.2500 0.5000  4 I 2.71

SG: I-42d, No. 122
Distance to the lowest polymorph of the same formula (meV per atom): 0